# 1
VASP calculation (PBE-GGA) on CaB2N2 after structural relaxation.

Lattice parameters (Å, degrees): 4.9975 4.9975 10.0375 90.00 90.00 90.00
Space group I4/mcm (No. 140)
Asymmetric unit:
Ca 0.0000 0.0000 0.2500 x4
B 0.1399 0.3601 0.0000 x8
N 0.1597 0.3403 0.5000 x8

Calculated values
The value obtained for the volume is 12.53 Å³/atom. As for the theoretical density: 2.4 g cm⁻³. For the total energy, the calculation gives -139.86 eV/cell. As for the energy above the most stable polymorph in this dataset: 0.000 eV/atom.

***

# 2
VASP calculation (PBE-GGA) on CoHgMo2 after structural relaxation.

Lattice parameters (Å, degrees): 7.1882 7.1882 5.1773 90.00 90.00 90.00
Space group I-42d (No. 122)
Asymmetric unit:
Co 0.0000 0.0000 0.0000 x4
Hg 0.0000 0.0000 0.5000 x4
Mo 0.1960 0.2500 0.1250 x8

Calculated values
The value obtained for the volume is 16.72 Å³/atom. As for the theoretical density: 11.2 g cm⁻³. For the total energy, the calculation gives -104.18 eV/cell.

***

# 3
VASP calculation (PBE-GGA) on Eu2YTl after structural relaxation.

Lattice parameters (Å, degrees): 8.0690 8.0690 8.0690 90.00 90.00 90.00
Space group Fm-3m (No. 225)
Asymmetric unit:
Eu 0.2500 0.2500 0.2500 x8
Y 0.0000 0.0000 0.0000 x4
Tl 0.0000 0.0000 0.5000 x4

Calculated values
The value obtained for the volume is 32.83 Å³/atom. As for the theoretical density: 7.6 g cm⁻³. For the total energy, the calculation gives -117.98 eV/cell. As for the energy above the most stable polymorph in this dataset: 0.124 eV/atom.

***

# 4
VASP calculation (PBE-GGA) on TbSm5Dy8 after structural relaxation.

Lattice parameters (Å, degrees): 17.3035 3.5418 16.8147 90.00 118.17 90.00
Space group C2/m (No. 12)
Asymmetric unit:
Tb 0.0000 0.0000 0.0000 x2
Sm 0.0000 0.5000 0.5000 x2
Sm 0.1456 0.0000 0.4414 x4
Sm 0.2139 0.0000 0.1440 x4
Dy 0.0793 0.5000 0.2220 x4
Dy 0.0817 0.0000 0.7235 x4
Dy 0.1466 0.5000 0.9414 x4
Dy 0.2161 0.5000 0.6458 x4

Calculated values
The value obtained for the volume is 32.44 Å³/atom. As for the theoretical density: 8.1 g cm⁻³. For the total energy, the calculation gives -128.89 eV/cell.

***

# 5
VASP calculation (PBE-GGA) on Ba2AlTl after structural relaxation.

Lattice parameters (Å, degrees): 3.8726 6.3804 13.9921 90.00 90.00 90.00
Space group Immm (No. 71)
Asymmetric unit:
Ba 0.0000 0.0000 0.2448 x4
Al 0.0000 0.0000 0.0000 x2
Tl 0.0000 0.0000 0.5000 x2

Calculated values
The value obtained for the volume is 43.22 Å³/atom. As for the theoretical density: 4.9 g cm⁻³. For the total energy, the calculation gives -15.71 eV/cell. As for the energy above the most stable polymorph in this dataset: 0.742 eV/atom.

***

# 6
VASP calculation (PBE-GGA) on NaCa2Nd after structural relaxation.

Lattice parameters (Å, degrees): 3.7850 3.7850 37.4116 90.00 90.00 120.00
Space group R-3m (No. 166, hexagonal axes)
Asymmetric unit:
Na 0.0000 0.0000 0.0000 x3
Ca 0.0000 0.0000 0.2483 x6
Nd 0.0000 0.0000 0.5000 x3

Calculated values
The value obtained for the volume is 38.68 Å³/atom. As for the theoretical density: 2.7 g cm⁻³. For the total energy, the calculation gives -29.38 eV/cell. As for the energy above the most stable polymorph in this dataset: 0.000 eV/atom.

***

# 7
VASP calculation (PBE-GGA) on MnGa2Re after structural relaxation.

Lattice parameters (Å, degrees): 6.1064 6.1064 6.1064 90.00 90.00 90.00
Space group Fm-3m (No. 225)
Asymmetric unit:
Mn 0.0000 0.0000 0.0000 x4
Ga 0.2500 0.2500 0.2500 x8
Re 0.0000 0.0000 0.5000 x4

Calculated values
The value obtained for the volume is 14.23 Å³/atom. As for the theoretical density: 11.1 g cm⁻³. For the total energy, the calculation gives -109.20 eV/cell. As for the energy above the most stable polymorph in this dataset: 0.010 eV/atom.

***

# 8
VASP calculation (PBE-GGA) on KCdRe2Ir after structural relaxation.

Lattice parameters (Å, degrees): 5.1521 5.1521 5.0734 90.00 90.00 90.00
Space group P4/mmm (No. 123)
Asymmetric unit:
K 0.0000 0.0000 0.0000 x1
Cd 0.5000 0.5000 0.5000 x1
Re 0.0000 0.5000 0.5000 x2
Ir 0.5000 0.5000 0.0000 x1

Calculated values
The value obtained for the volume is 26.93 Å³/atom. As for the theoretical density: 8.8 g cm⁻³. For the total energy, the calculation gives -22.35 eV/cell.

***

# 9
VASP calculation (PBE-GGA) on FeSb3S after structural relaxation.

Lattice parameters (Å, degrees): 4.8894 4.8894 4.8894 90.00 90.00 90.00
Space group Pm-3m (No. 221)
Asymmetric unit:
Fe 0.0000 0.0000 0.0000 x1
Sb 0.0000 0.0000 0.5000 x3
S 0.5000 0.5000 0.5000 x1

Calculated values
The value obtained for the volume is 23.38 Å³/atom. As for the theoretical density: 6.4 g cm⁻³. For the total energy, the calculation gives -22.92 eV/cell. As for the energy above the most stable polymorph in this dataset: 0.000 eV/atom.

***

# 10
VASP calculation (PBE-GGA) on Rb2Li2MnCl6 after structural relaxation.

Lattice parameters (Å, degrees): 7.3787 7.3787 19.9328 90.00 90.00 120.00
Space group R-3m (No. 166, hexagonal axes)
Asymmetric unit:
Rb 0.0000 0.0000 0.2183 x6
Li 0.0000 0.0000 0.4120 x6
Mn 0.0000 0.0000 0.0000 x3
Cl 0.0187 0.5094 0.7454 x18

Calculated values
The value obtained for the volume is 28.48 Å³/atom. As for the theoretical density: 2.4 g cm⁻³. For the total energy, the calculation gives -131.50 eV/cell.

***

# 11
VASP calculation (PBE-GGA) on Ga2GeP after structural relaxation.

Lattice parameters (Å, degrees): 3.7774 3.7774 22.2219 90.00 90.00 120.00
Space group R-3m (No. 166, hexagonal axes)
Asymmetric unit:
Ga 0.0000 0.0000 0.1036 x6
Ge 0.0000 0.0000 0.5000 x3
P 0.0000 0.0000 0.0000 x3

Calculated values
The value obtained for the volume is 22.88 Å³/atom. As for the theoretical density: 4.4 g cm⁻³. For the total energy, the calculation gives -42.93 eV/cell. As for the energy above the most stable polymorph in this dataset: 0.524 eV/atom.

***

# 12
VASP calculation (PBE-GGA) on Zr2AlInH after structural relaxation.

Lattice parameters (Å, degrees): 4.3621 4.3621 4.4522 90.00 90.00 90.00
Space group P4/mmm (No. 123)
Asymmetric unit:
Zr 0.0000 0.5000 0.0000 x2
Al 0.0000 0.0000 0.5000 x1
In 0.5000 0.5000 0.5000 x1
H 0.0000 0.0000 0.0000 x1

Calculated values
The value obtained for the volume is 16.94 Å³/atom. As for the theoretical density: 6.4 g cm⁻³. For the total energy, the calculation gives -28.35 eV/cell.

***

# 13
VASP calculation (PBE-GGA) on Zr5Ti3H12 after structural relaxation.

Lattice parameters (Å, degrees): 11.6149 11.6149 11.6149 90.00 90.00 90.00
Space group Ia-3d (No. 230)
Asymmetric unit:
Zr 0.0000 0.0000 0.0000 x16
Zr 0.0000 0.2500 0.3750 x24
Ti 0.0000 0.2500 0.1250 x24
H 0.0024 0.0736 0.1574 x96

Calculated values
The value obtained for the volume is 9.79 Å³/atom. As for the theoretical density: 5.2 g cm⁻³. For the total energy, the calculation gives -917.84 eV/cell.

***

# 14
VASP calculation (PBE-GGA) on TlSiSnSe4 after structural relaxation.

Lattice parameters (Å, degrees): 6.5653 7.1033 9.0582 90.00 109.25 90.00
Space group P2_1/m (No. 11)
Asymmetric unit:
Tl 0.2402 0.2500 0.0654 x2
Si 0.2171 0.7500 0.3239 x2
Sn 0.2271 0.2500 0.5441 x2
Se 0.0162 0.5026 0.7221 x4
Se 0.4228 0.7500 0.1659 x2
Se 0.4363 0.7500 0.5786 x2

Calculated values
The value obtained for the volume is 28.49 Å³/atom. As for the theoretical density: 5.6 g cm⁻³. For the total energy, the calculation gives -56.80 eV/cell.

***

# 15
VASP calculation (PBE-GGA) on Ag2SnAuSe4 after structural relaxation.

Lattice parameters (Å, degrees): 6.0302 6.0302 12.2533 90.00 90.00 90.00
Space group I-42m (No. 121)
Asymmetric unit:
Ag 0.0000 0.5000 0.2500 x4
Sn 0.0000 0.0000 0.0000 x2
Au 0.0000 0.0000 0.5000 x2
Se 0.2492 0.2492 0.6234 x8

Calculated values
The value obtained for the volume is 27.85 Å³/atom. As for the theoretical density: 6.3 g cm⁻³. For the total energy, the calculation gives -56.26 eV/cell.

***

# 16
VASP calculation (PBE-GGA) on RbBeZn2Pt after structural relaxation.

Lattice parameters (Å, degrees): 5.0044 5.0044 4.4994 90.00 90.00 90.00
Space group P4/mmm (No. 123)
Asymmetric unit:
Rb 0.0000 0.0000 0.0000 x1
Be 0.5000 0.5000 0.0000 x1
Zn 0.0000 0.5000 0.5000 x2
Pt 0.5000 0.5000 0.5000 x1

Calculated values
The value obtained for the volume is 22.54 Å³/atom. As for the theoretical density: 6.2 g cm⁻³. For the total energy, the calculation gives -13.91 eV/cell.

***

# 17
VASP calculation (PBE-GGA) on CoSn2GeI after structural relaxation.

Lattice parameters (Å, degrees): 5.1970 5.1970 4.5126 90.00 90.00 90.00
Space group P4/mmm (No. 123)
Asymmetric unit:
Co 0.0000 0.0000 0.0000 x1
Sn 0.0000 0.5000 0.0000 x2
Ge 0.0000 0.0000 0.5000 x1
I 0.5000 0.5000 0.5000 x1

Calculated values
The value obtained for the volume is 24.38 Å³/atom. As for the theoretical density: 6.8 g cm⁻³. For the total energy, the calculation gives -21.14 eV/cell.

***

# 18
VASP calculation (PBE-GGA) on PRuI2N after structural relaxation.

Lattice parameters (Å, degrees): 5.4353 5.4353 3.3019 90.00 90.00 90.00
Space group P4/mmm (No. 123)
Asymmetric unit:
P 0.0000 0.0000 0.0000 x1
Ru 0.5000 0.5000 0.5000 x1
I 0.0000 0.5000 0.0000 x2
N 0.0000 0.0000 0.5000 x1

Calculated values
The value obtained for the volume is 19.51 Å³/atom. As for the theoretical density: 6.8 g cm⁻³. For the total energy, the calculation gives -20.55 eV/cell. As for the energy above the most stable polymorph in this dataset: 0.324 eV/atom.

***

# 19
VASP calculation (PBE-GGA) on Tl2AgIr after structural relaxation.

Lattice parameters (Å, degrees): 3.2623 4.6558 5.4963 90.00 90.00 90.00
Space group Pmmm (No. 47)
Asymmetric unit:
Tl 0.0000 0.0000 0.0000 x1
Tl 0.5000 0.0000 0.5000 x1
Ag 0.0000 0.5000 0.5000 x1
Ir 0.5000 0.5000 0.0000 x1

Calculated values
The value obtained for the volume is 20.87 Å³/atom. As for the theoretical density: 14.1 g cm⁻³. For the total energy, the calculation gives -14.37 eV/cell. As for the energy above the most stable polymorph in this dataset: 0.199 eV/atom.

***

# 20
VASP calculation (PBE-GGA) on ErLu2In after structural relaxation.

Lattice parameters (Å, degrees): 4.7636 4.7636 4.7706 90.00 90.00 90.00
Space group P4/mmm (No. 123)
Asymmetric unit:
Er 0.0000 0.0000 0.0000 x1
Lu 0.0000 0.5000 0.5000 x2
In 0.5000 0.5000 0.0000 x1

Calculated values
The value obtained for the volume is 27.06 Å³/atom. As for the theoretical density: 9.7 g cm⁻³. For the total energy, the calculation gives -17.35 eV/cell. As for the energy above the most stable polymorph in this dataset: 0.000 eV/atom.

***

# 21
VASP calculation (PBE-GGA) on LiDyAg after structural relaxation.

Lattice parameters (Å, degrees): 4.6510 4.6510 3.4999 90.00 90.00 120.00
Space group P-6m2 (No. 187)
Asymmetric unit:
Li 0.0000 0.0000 0.0000 x1
Dy 0.6667 0.3333 0.5000 x1
Ag 0.3333 0.6667 0.0000 x1

Calculated values
The value obtained for the volume is 21.85 Å³/atom. As for the theoretical density: 7.0 g cm⁻³. For the total energy, the calculation gives -9.74 eV/cell. As for the energy above the most stable polymorph in this dataset: 0.064 eV/atom.

***

# 22
VASP calculation (PBE-GGA) on CsCoBr4 after structural relaxation.

Lattice parameters (Å, degrees): 17.5416 6.7859 6.7509 90.00 111.66 90.00
Space group C2/c (No. 15)
Asymmetric unit:
Cs 0.0000 0.2112 0.2500 x4
Co 0.2500 0.2500 0.0000 x4
Br 0.1037 0.3100 0.8447 x8
Br 0.2227 0.0664 0.2847 x8

Calculated values
The value obtained for the volume is 31.12 Å³/atom. As for the theoretical density: 4.5 g cm⁻³. For the total energy, the calculation gives -75.62 eV/cell. As for the energy above the most stable polymorph in this dataset: 0.086 eV/atom.

***

# 23
VASP calculation (PBE-GGA) on GaAs3Pt after structural relaxation.

Lattice parameters (Å, degrees): 4.7734 4.7734 4.7734 90.00 90.00 90.00
Space group Pm-3m (No. 221)
Asymmetric unit:
Ga 0.0000 0.0000 0.0000 x1
As 0.0000 0.0000 0.5000 x3
Pt 0.5000 0.5000 0.5000 x1

Calculated values
The value obtained for the volume is 21.75 Å³/atom. As for the theoretical density: 7.5 g cm⁻³. For the total energy, the calculation gives -18.23 eV/cell. As for the energy above the most stable polymorph in this dataset: 0.378 eV/atom.